## Li2RhBr (GGA-PBE)

Data for a relaxed Li2RhBr crystal.

**DOS at the Fermi energy**: 3.0 states/eV/cell
**E above lowest polymorph**: 25 kJ/mol of formula units
**Volume**: 66.96 Å³/cell
**Formation energy from raw total energies**: -0.3237 eV per atom

abc: 7.864 7.864 7.864
angles: 23.33 23.33 23.33
Sites, in units of the cell vectors:
Li 0.495 0.495 0.495
Li 0.005 0.005 0.005
Rh 0.250 0.250 0.250
Br 0.750 0.750 0.750

---

## Rb3Dy3TmSe8 (GGA-PBE)

Data for a relaxed Rb3Dy3TmSe8 crystal.

**DOS at the Fermi energy**: 9.2 states/eV/cell
**Volume**: 490.70 Å³/cell
**Formation energy from raw total energies**: -1.6676 eV per atom

abc: 8.312 8.315 9.504
angles: 115.99 89.99 119.99
Sites, in units of the cell vectors:
Rb 0.000 0.500 0.000
Rb 0.500 0.500 0.000
Rb 0.000 0.000 0.000
Se 0.230 0.459 0.692
Se 0.770 0.541 0.308
Se 0.733 0.963 0.692
Se 0.230 0.963 0.692
Se 0.770 0.037 0.308
Se 0.268 0.536 0.304
Se 0.267 0.037 0.308
Se 0.732 0.464 0.696
Tm 0.000 0.000 0.500
Dy 0.000 0.500 0.500
Dy 0.500 0.500 0.500
Dy 0.500 0.000 0.500

---

## BaTlCr2 (GGA-PBE)

Data for a relaxed BaTlCr2 crystal.

**Formation energy from the elements**: 0.758 eV per atom
**DOS at the Fermi energy**: 2.9 states/eV/cell
**E above lowest polymorph**: 142 kJ/mol of formula units
**Volume**: 111.12 Å³/cell

abc: 3.772 3.772 7.811
angles: 90.00 90.00 89.98
Sites, in units of the cell vectors:
Ba 0.500 0.500 0.750
Cr 0.000 0.000 0.064
Cr 0.000 0.000 0.436
Tl 0.500 0.500 0.250